No. 1
Entry from the Alexandria database: Dy2Mg2Ga4Ge after structural relaxation (PBE-GGA).

Energy = -3.42 eV per atom
Magnetization = 0.00 μB/f.u.
Symmetry = I4/mmm (139)

a b c (Å): 6.606 6.606 6.606
angles (deg): 93.59 117.95 117.95
Positions (direct):
Dy 0.000 0.301 0.301
Dy 0.000 0.699 0.699
Ge 0.000 0.000 0.000
Mg 0.500 0.250 0.750
Mg 0.500 0.750 0.250
Ga 0.000 0.257 0.743
Ga 0.000 0.743 0.257
Ga 0.513 0.257 0.257
Ga 0.487 0.743 0.743


No. 2
Entry from the Alexandria database: Dy4GaGeN after structural relaxation (PBE-GGA).

Formation energy without anion corrections = -0.90 eV/atom
Magnetization = 0.00 μB/f.u.
Symmetry = Cmcm (63)

a b c (Å): 6.520 6.518 8.333
angles (deg): 90.00 113.03 90.00
Positions (direct):
Dy 0.581 0.250 0.162
Dy 0.000 0.000 0.500
Dy 0.500 0.000 0.500
Dy 0.000 0.500 0.500
Dy 0.082 0.750 0.163
Dy 0.419 0.750 0.838
Dy 0.918 0.250 0.837
Dy 0.500 0.500 0.500
Ge 0.112 0.250 0.225
Ge 0.888 0.750 0.775
N 0.248 0.750 0.497
N 0.752 0.250 0.503
Ga 0.614 0.750 0.227
Ga 0.386 0.250 0.773


No. 3
Entry from the Alexandria database: Na2DyGaGe2 after structural relaxation (PBE-GGA).

Energy = -3.65 eV per atom
Magnetization = 0.00 μB/f.u.
Symmetry = Pmc2_1 (26)

a b c (Å): 4.265 7.249 8.812
angles (deg): 90.00 90.00 90.00
Positions (direct):
Na 0.500 0.530 0.918
Na 0.500 0.030 0.082
Na 0.000 0.347 0.160
Na 0.000 0.847 0.840
Dy 0.000 0.490 0.554
Dy 0.000 0.990 0.446
Ge 0.500 0.275 0.388
Ge 0.000 0.750 0.177
Ge 0.000 0.250 0.823
Ge 0.500 0.775 0.612
Ga 0.500 0.153 0.676
Ga 0.500 0.653 0.324